No. 1
Compound: As2Se
Source: Alexandria
Functional: GGA-PBE
Structure: relaxed

abc: 7.8788 7.8788 7.8788
angles: 90.00 90.00 90.00
Last column: nearest neighbours and their distance in Å.
Space group Fd-3m (No. 227, origin choice 2)
Unique sites:
As 0.0000 0.0000 0.0000 x16  6 As 2.79
Se 0.1250 0.1250 0.6250 x8  12 As 3.27, 4 Se 3.41

- Energy relative to the elements, uncorrected: 0.614 eV/atom
- Energy above the lowest structure with this stoichiometry: 1.73 eV/f.u.



No. 2
Compound: La2AsBr2
Source: Alexandria
Functional: GGA-PBE
Structure: relaxed

abc: 4.3381 4.3381 31.8900
angles: 90.00 90.00 120.00
Last column: nearest neighbours and their distance in Å.
Space group R-3m (No. 166, hexagonal axes)
Unique sites:
La 0.0000 0.0000 0.1137 x6  3 As 3.02, 3 Br 3.10
As 0.0000 0.0000 0.5000 x3  6 La 3.02
Br 0.0000 0.0000 0.2771 x6  3 La 3.10

- Energy relative to the elements, uncorrected: -1.811 eV/atom



Repeat the first record exactly.
Compound: As2Se
Source: Alexandria
Functional: GGA-PBE
Structure: relaxed

abc: 7.8788 7.8788 7.8788
angles: 90.00 90.00 90.00
Last column: nearest neighbours and their distance in Å.
Space group Fd-3m (No. 227, origin choice 2)
Unique sites:
As 0.0000 0.0000 0.0000 x16  6 As 2.79
Se 0.1250 0.1250 0.6250 x8  12 As 3.27, 4 Se 3.41

- Energy relative to the elements, uncorrected: 0.614 eV/atom
- Energy above the lowest structure with this stoichiometry: 1.73 eV/f.u.



> The highest energy relative to the elements, uncorrected belongs to which entry?

As2Se